Entry 1:
Below is YSi2Ni3 after structural relaxation, with properties calculated at the PBE level.

Cell: 7.8787 7.8787 9.2891 Å, 107.16 107.16 27.75°
With the nearest neighbours (Å) after each atom.
Fractional coordinates of all 18 atoms:
1 Y 0.0000 0.0000 0.0000  6 Si 2.93-2.97, 6 Ni 2.95-3.03
2 Y 0.1551 0.1551 0.6987  6 Si 2.92-2.98, 10 Ni 3.00-3.25
3 Y 0.8449 0.8449 0.3013  6 Si 2.92-2.98, 10 Ni 3.00-3.25
4 Si 0.2001 0.2001 0.1308  6 Ni 2.33-2.40
5 Si 0.3612 0.3612 0.5490  7 Ni 2.25-2.39
6 Si 0.4699 0.4699 0.2272  5 Ni 2.31-2.47
7 Si 0.5301 0.5301 0.7728  5 Ni 2.31-2.47
8 Si 0.6388 0.6388 0.4510  7 Ni 2.25-2.39
9 Si 0.7999 0.7999 0.8692  6 Ni 2.33-2.40
10 Ni 0.0474 0.0474 0.3415  4 Si 2.31-2.39, 1 Ni 2.48
11 Ni 0.2164 0.2164 0.3931  4 Si 2.25-2.38, 1 Ni 2.48
12 Ni 0.3230 0.3230 0.0315  4 Si 2.33-2.42, 1 Ni 2.53
13 Ni 0.3732 0.3732 0.7964  4 Si 2.25-2.47
14 Ni 0.5000 0.5000 0.5000  4 Si 2.30-2.43
15 Ni 0.6268 0.6268 0.2036  4 Si 2.25-2.47
16 Ni 0.6770 0.6770 0.9685  4 Si 2.33-2.42, 1 Ni 2.53
17 Ni 0.7836 0.7836 0.6069  4 Si 2.25-2.38, 1 Ni 2.48
18 Ni 0.9526 0.9526 0.6585  4 Si 2.31-2.39, 1 Ni 2.48

- Total moment: 0.0 μB per cell
- Formation energy without anion corrections: -445 kJ/mol of formula units
- Symmetry: C2/m

Entry 2:
Below is Pr8Os3I3Cl after structural relaxation, with properties calculated at the PBE level.

Cell: 9.3025 9.3025 9.3025 Å, 55.12 55.12 55.12°
With the nearest neighbours (Å) after each atom.
Fractional coordinates of all 15 atoms:
1 Pr 0.2020 0.7464 0.7464  2 Os 2.83, 1 Cl 3.11
2 Pr 0.2300 0.2300 0.2300  3 Os 2.90
3 Pr 0.2536 0.2536 0.7980  2 Os 2.83, 1 Cl 3.11
4 Pr 0.2536 0.7980 0.2536  2 Os 2.83, 1 Cl 3.11
5 Pr 0.7464 0.2020 0.7464  2 Os 2.83, 1 Cl 3.11
6 Pr 0.7464 0.7464 0.2020  2 Os 2.83, 1 Cl 3.11
7 Pr 0.7700 0.7700 0.7700  3 Os 2.90
8 Pr 0.7980 0.2536 0.2536  2 Os 2.83, 1 Cl 3.11
9 Os 0.0000 0.0000 0.5000  6 Pr 2.83-2.90
10 Os 0.0000 0.5000 0.0000  6 Pr 2.83-2.90
11 Os 0.5000 0.0000 0.0000  6 Pr 2.83-2.90
12 I 0.0000 0.5000 0.5000  6 Pr 3.48-3.54
13 I 0.5000 0.0000 0.5000  6 Pr 3.48-3.54
14 I 0.5000 0.5000 0.0000  6 Pr 3.48-3.54
15 Cl 0.5000 0.5000 0.5000  6 Pr 3.11

- Total moment: 0.0 μB per cell
- Formation energy without anion corrections: -820 kJ/mol of formula units
- Symmetry: R-3m

Entry 3:
Below is MgTi3Co after structural relaxation, with properties calculated at the PBE level.

Cell: 4.5611 4.5611 4.5611 Å, 90.00 90.00 90.00°
With the nearest neighbours (Å) after each atom.
Fractional coordinates of all 5 atoms:
1 Mg 0.0000 0.0000 0.0000  12 Ti 3.23
2 Ti 0.0000 0.5000 0.5000  2 Co 2.28
3 Ti 0.5000 0.0000 0.5000  2 Co 2.28
4 Ti 0.5000 0.5000 0.0000  2 Co 2.28
5 Co 0.5000 0.5000 0.5000  6 Ti 2.28

- Total moment: 0.0 μB per cell
- Symmetry: Pm-3m
- Energy relative to the elements: 0.26 eV per atom

Entry 4:
Below is Pr2Zn2Pt5Au after structural relaxation, with properties calculated at the PBE level.

Cell: 9.7189 9.7189 3.9133 Å, 90.00 90.00 90.00°
With the nearest neighbours (Å) after each atom.
Fractional coordinates of all 20 atoms:
1 Pr 0.1797 0.3203 0.0000  3 Zn 2.77-2.96
2 Pr 0.3203 0.8203 0.0000  3 Zn 2.77-2.96
3 Pr 0.6797 0.1797 0.0000  3 Zn 2.77-2.96
4 Pr 0.8203 0.6797 0.0000  3 Zn 2.77-2.96
5 Zn 0.1185 0.6185 0.0000  6 Pt 2.55-2.64, 1 Pr 2.77
6 Zn 0.3815 0.1185 0.0000  6 Pt 2.55-2.64, 1 Pr 2.77
7 Zn 0.6185 0.8815 0.0000  6 Pt 2.55-2.64, 1 Pr 2.77
8 Zn 0.8815 0.3815 0.0000  6 Pt 2.55-2.64, 1 Pr 2.77
9 Pt 0.0000 0.5000 0.5000  4 Zn 2.55
10 Pt 0.0633 0.7923 0.5000  2 Zn 2.64, 2 Au 2.88, 1 Pt 2.91
11 Pt 0.2077 0.0633 0.5000  2 Zn 2.64, 2 Au 2.88, 1 Pt 2.91
12 Pt 0.2923 0.5633 0.5000  2 Zn 2.64, 2 Au 2.88, 1 Pt 2.91
13 Pt 0.4367 0.2923 0.5000  2 Zn 2.64, 2 Au 2.88, 1 Pt 2.91
14 Pt 0.5000 0.0000 0.5000  4 Zn 2.55
15 Pt 0.5633 0.7077 0.5000  2 Zn 2.64, 2 Au 2.88, 1 Pt 2.91
16 Pt 0.7077 0.4367 0.5000  2 Zn 2.64, 2 Au 2.88, 1 Pt 2.91
17 Pt 0.7923 0.9367 0.5000  2 Zn 2.64, 2 Au 2.88, 1 Pt 2.91
18 Pt 0.9367 0.2077 0.5000  2 Zn 2.64, 2 Au 2.88, 1 Pt 2.91
19 Au 0.0000 0.0000 0.0000  8 Pt 2.88
20 Au 0.5000 0.5000 0.0000  8 Pt 2.88

- Total moment: 0.0 μB per cell
- Symmetry: P4/mbm
- Energy relative to the elements: -0.72 eV per atom

Entry 5:
Below is MgZr2Br after structural relaxation, with properties calculated at the PBE level.

Cell: 11.3598 11.3598 11.3598 Å, 158.80 158.80 30.16°
With the nearest neighbours (Å) after each atom.
Fractional coordinates of all 8 atoms:
1 Mg 0.0000 0.0000 0.0000  4 Br 2.96, 4 Zr 3.11
2 Mg 0.7500 0.2500 0.5000  4 Br 2.96, 4 Zr 3.11
3 Zr 0.1240 0.6250 0.9990  4 Zr 2.95-2.96, 2 Mg 3.11, 2 Br 3.12
4 Zr 0.3750 0.3740 0.4990  4 Zr 2.95-2.96, 2 Mg 3.11, 2 Br 3.12
5 Zr 0.6260 0.1250 0.0010  4 Zr 2.95-2.96, 2 Mg 3.11, 2 Br 3.12
6 Zr 0.8750 0.8760 0.5010  4 Zr 2.95-2.96, 2 Mg 3.11, 2 Br 3.12
7 Br 0.2500 0.7500 0.5000  4 Mg 2.96, 4 Zr 3.12
8 Br 0.5000 0.5000 0.0000  4 Mg 2.96, 4 Zr 3.12

- Total moment: 0.0 μB per cell
- Formation energy without anion corrections: 76 kJ/mol of formula units
- Symmetry: I-42d

Entry 6:
Below is Sc8Ni2Pb after structural relaxation, with properties calculated at the PBE level.

Cell: 7.5026 7.5026 4.8692 Å, 97.65 97.65 113.85°
With the nearest neighbours (Å) after each atom.
Fractional coordinates of all 11 atoms:
1 Sc 0.1026 0.1026 0.7988  2 Ni 2.83, 4 Sc 2.88-3.14, 1 Pb 3.16
2 Sc 0.1665 0.4236 0.4220  2 Ni 2.66-2.79
3 Sc 0.2497 0.7503 0.0000  2 Ni 2.54
4 Sc 0.4236 0.1665 0.4220  2 Ni 2.66-2.79
5 Sc 0.5764 0.8335 0.5780  2 Ni 2.66-2.79
6 Sc 0.7503 0.2497 0.0000  2 Ni 2.54
7 Sc 0.8335 0.5764 0.5780  2 Ni 2.66-2.79
8 Sc 0.8974 0.8974 0.2012  2 Ni 2.83, 4 Sc 2.88-3.14, 1 Pb 3.16
9 Ni 0.1916 0.8084 0.5000  8 Sc 2.54-2.83
10 Ni 0.8084 0.1916 0.5000  8 Sc 2.54-2.83
11 Pb 0.5000 0.5000 0.0000  12 Sc 3.15-3.37

- Total moment: 1.3 μB per cell
- Symmetry: C2/m
- Energy relative to the elements: -0.23 eV per atom